[1]
{
  "formula": "CsLi2U2Te6",
  "functional": "PBE-GGA",
  "state": "optimized geometry",
  "dos_at_fermi_per_ev_fu": 15.15,
  "total_magnetization_mub_per_fu": 3.0,
  "dft_energy_ev_per_fu": -54.29,
  "e_form_raw_ev_per_atom": -0.744,
  "lattice": [[-7.350, -1.762, -2.471], [-0.017, -8.845, -6.429], [-2.651, 1.368, 6.896]],
  "species": ["Cs", "Li", "Li", "U", "U", "Te", "Te", "Te", "Te", "Te", "Te"],
  "fractional_positions": [[0.500, 0.000, 0.500], [0.167, 0.666, 0.666], [0.833, 0.334, 0.334], [0.833, 0.333, 0.833], [0.167, 0.667, 0.167], [0.500, 0.582, 0.832], [0.919, 0.581, 0.330], [0.081, 0.000, 0.749], [0.081, 0.419, 0.670], [0.919, 0.000, 0.251], [0.500, 0.418, 0.168]]
}

[2]
{
  "formula": "Na2YNbGe",
  "functional": "PBE-GGA",
  "state": "optimized geometry",
  "dos_at_fermi_per_ev_fu": 6.24,
  "total_magnetization_mub_per_fu": 0.0,
  "e_form_mev_per_atom": 1602.5,
  "dft_energy_ev_per_fu": -15.78,
  "lattice": [[5.239, 0.000, 0.000], [0.000, 5.230, 0.000], [0.000, 0.000, 5.239]],
  "species": ["Y", "Na", "Na", "Nb", "Ge"],
  "fractional_positions": [[0.000, 0.000, 0.000], [0.000, 0.000, 0.500], [0.500, 0.000, 0.000], [0.500, 0.500, 0.500], [0.000, 0.500, 0.000]]
}

[3]
{
  "formula": "ThMg2AlAu4",
  "functional": "PBE-GGA",
  "state": "optimized geometry",
  "dos_at_fermi_per_ev_fu": 2.49,
  "total_magnetization_mub_per_fu": 0.0,
  "e_form_mev_per_atom": -584.0,
  "dft_energy_ev_per_fu": -32.13,
  "lattice": [[4.531, 0.000, 0.000], [2.265, 3.924, 0.000], [2.265, 1.308, 9.048]],
  "species": ["Th", "Mg", "Mg", "Al", "Au", "Au", "Au", "Au"],
  "fractional_positions": [[0.000, 0.000, 0.000], [0.762, 0.762, 0.715], [0.238, 0.238, 0.285], [0.500, 0.500, 0.500], [0.395, 0.395, 0.816], [0.868, 0.868, 0.395], [0.132, 0.132, 0.605], [0.605, 0.605, 0.184]]
}

[4]
{
  "formula": "CoTcBr2",
  "functional": "PBE-GGA",
  "state": "optimized geometry",
  "dos_at_fermi_per_ev_fu": 4.57,
  "total_magnetization_mub_per_fu": 1.1,
  "polymorph_energy_ev_per_fu": 2.36,
  "dft_energy_ev_per_fu": -17.83,
  "e_form_raw_ev_per_atom": 0.748,
  "lattice": [[7.919, -0.069, -0.041], [7.252, 3.182, -0.041], [7.252, 1.488, 2.813]],
  "species": ["Br", "Br", "Co", "Tc"],
  "fractional_positions": [[0.991, 0.991, 0.991], [0.509, 0.509, 0.509], [0.250, 0.250, 0.250], [0.750, 0.750, 0.750]]
}

[5]
{
  "formula": "Be2GePd2",
  "functional": "PBE-GGA",
  "state": "optimized geometry",
  "dos_at_fermi_per_ev_fu": 0.94,
  "total_magnetization_mub_per_fu": 0.0,
  "e_form_mev_per_atom": -298.4,
  "polymorph_energy_ev_per_fu": 0.17,
  "dft_energy_ev_per_fu": -23.95,
  "lattice": [[6.724, 0.000, 0.000], [0.000, 6.724, 0.000], [0.000, 0.000, 2.883]],
  "species": ["Be", "Be", "Be", "Be", "Ge", "Ge", "Pd", "Pd", "Pd", "Pd"],
  "fractional_positions": [[0.137, 0.637, 0.500], [0.637, 0.863, 0.500], [0.863, 0.363, 0.500], [0.363, 0.137, 0.500], [0.000, 0.000, 0.000], [0.500, 0.500, 0.000], [0.346, 0.846, 0.000], [0.846, 0.654, 0.000], [0.654, 0.154, 0.000], [0.154, 0.346, 0.000]]
}

[6]
{
  "formula": "Ce3SmPt2",
  "functional": "PBE-GGA",
  "state": "optimized geometry",
  "dos_at_fermi_per_ev_fu": 11.39,
  "total_magnetization_mub_per_fu": 0.0,
  "e_form_mev_per_atom": -708.0,
  "dft_energy_ev_per_fu": -38.85,
  "lattice": [[4.530, 0.000, 0.000], [-2.265, 8.402, -0.212], [0.000, -3.889, 7.666]],
  "species": ["Ce", "Ce", "Ce", "Ce", "Ce", "Ce", "Sm", "Sm", "Pt", "Pt", "Pt", "Pt"],
  "fractional_positions": [[0.289, 0.577, 0.615], [0.934, 0.868, 0.562], [0.627, 0.254, 0.695], [0.373, 0.746, 0.305], [0.066, 0.132, 0.438], [0.711, 0.423, 0.385], [0.889, 0.779, 0.970], [0.111, 0.221, 0.030], [0.481, 0.962, 0.816], [0.519, 0.038, 0.184], [0.756, 0.512, 0.108], [0.244, 0.488, 0.892]]
}

[7]
{
  "formula": "K5SeCl2O4",
  "functional": "PBE-GGA",
  "state": "optimized geometry",
  "dos_at_fermi_per_ev_fu": 2.67,
  "total_magnetization_mub_per_fu": 1.0,
  "dft_energy_ev_per_fu": -49.81,
  "e_form_raw_ev_per_atom": -1.442,
  "lattice": [[6.714, 0.000, 0.000], [-3.357, 5.118, 0.000], [0.000, 0.000, 8.430]],
  "species": ["K", "K", "K", "K", "K", "Se", "Cl", "Cl", "O", "O", "O", "O"],
  "fractional_positions": [[0.078, 0.367, 0.208], [0.484, 0.000, 0.500], [0.078, 0.367, 0.792], [0.711, 0.633, 0.792], [0.711, 0.633, 0.208], [0.407, 0.000, 0.000], [0.952, 0.593, 0.500], [0.359, 0.407, 0.500], [0.571, 0.000, 0.171], [0.571, 0.000, 0.829], [0.385, 0.286, 0.000], [0.099, 0.714, 0.000]]
}

[8]
{
  "formula": "TlMoP2",
  "functional": "PBE-GGA",
  "state": "optimized geometry",
  "dos_at_fermi_per_ev_fu": 2.97,
  "total_magnetization_mub_per_fu": 0.0,
  "e_form_mev_per_atom": 404.9,
  "polymorph_energy_ev_per_fu": 1.97,
  "dft_energy_ev_per_fu": -22.40,
  "lattice": [[-0.426, -5.834, -0.991], [4.999, -2.948, -1.233], [-3.387, 3.161, 3.706]],
  "species": ["Mo", "P", "P", "Tl"],
  "fractional_positions": [[0.250, 0.750, 0.500], [0.061, 0.061, 0.000], [0.439, 0.439, 0.000], [0.750, 0.250, 0.500]]
}

[9]
{
  "formula": "ErSc2Au3",
  "functional": "PBE-GGA",
  "state": "optimized geometry",
  "dos_at_fermi_per_ev_fu": 2.07,
  "total_magnetization_mub_per_fu": 0.0,
  "e_form_mev_per_atom": -829.6,
  "dft_energy_ev_per_fu": -32.04,
  "lattice": [[3.442, 0.000, 0.000], [0.000, 3.442, 0.000], [0.000, 0.000, 10.475]],
  "species": ["Er", "Sc", "Sc", "Au", "Au", "Au"],
  "fractional_positions": [[0.500, 0.500, 0.500], [0.500, 0.500, 0.838], [0.500, 0.500, 0.162], [0.000, 0.000, 0.000], [0.000, 0.000, 0.682], [0.000, 0.000, 0.318]]
}

[10]
{
  "formula": "TaAs2Cl",
  "functional": "PBE-GGA",
  "state": "optimized geometry",
  "dos_at_fermi_per_ev_fu": 2.33,
  "total_magnetization_mub_per_fu": 0.0,
  "polymorph_energy_ev_per_fu": 1.35,
  "dft_energy_ev_per_fu": -23.09,
  "e_form_raw_ev_per_atom": -0.023,
  "lattice": [[-1.643, -1.032, -2.158], [2.696, -0.731, -0.784], [-0.968, -8.950, 5.016]],
  "species": ["As", "As", "Cl", "Ta"],
  "fractional_positions": [[0.000, 0.000, 0.947], [0.000, 0.000, 0.553], [0.500, 0.500, 0.250], [0.500, 0.500, 0.750]]
}

[11]
{
  "formula": "MgTc2Ni",
  "functional": "PBE-GGA",
  "state": "optimized geometry",
  "dos_at_fermi_per_ev_fu": 3.71,
  "total_magnetization_mub_per_fu": 0.0,
  "e_form_mev_per_atom": 222.0,
  "dft_energy_ev_per_fu": -27.22,
  "lattice": [[-1.472, 1.872, 1.130], [0.343, -2.005, 3.770], [4.171, 2.657, 1.033]],
  "species": ["Mg", "Ni", "Tc", "Tc"],
  "fractional_positions": [[0.500, 0.500, 0.250], [0.500, 0.500, 0.750], [0.000, 0.000, 0.996], [0.000, 0.000, 0.504]]
}

[12]
{
  "formula": "Pu3Ga4Ir",
  "functional": "PBE-GGA",
  "state": "optimized geometry",
  "dos_at_fermi_per_ev_fu": 23.60,
  "total_magnetization_mub_per_fu": 17.1,
  "e_form_mev_per_atom": -212.1,
  "dft_energy_ev_per_fu": -65.66,
  "lattice": [[4.710, 0.000, 0.000], [0.000, 6.466, 0.000], [-2.355, -3.233, 6.003]],
  "species": ["Pu", "Pu", "Pu", "Ga", "Ga", "Ga", "Ga", "Ir"],
  "fractional_positions": [[0.139, 0.139, 0.278], [0.861, 0.861, 0.722], [0.000, 0.500, 0.000], [0.351, 0.559, 0.703], [0.649, 0.441, 0.297], [0.649, 0.857, 0.297], [0.351, 0.143, 0.703], [0.500, 0.000, 0.000]]
}